Arrangement a

DFT (PBE-GGA) results for a relaxed structure of FeSiC3.

Cell: 3.7466 3.7466 3.7466 Å, 90.00 90.00 90.00°
Atoms (fractional coordinates):
Si 0.5000 0.5000 0.5000
C 0.0000 0.0000 0.5000
C 0.0000 0.5000 0.0000
C 0.5000 0.0000 0.0000
Fe 0.0000 0.0000 0.0000

## Properties
**Total magnetic moment**: 0.00 μB per atom
**Space group**: Pm-3m, No. 221


Arrangement b

DFT (PBE-GGA) results for a relaxed structure of FeSiC3.

Cell: 3.6870 3.7390 4.2741 Å, 80.72 68.86 89.20°
Atoms (fractional coordinates):
C 0.5204 0.5766 0.2653
C 0.7714 0.4265 0.9569
C 0.0140 0.2014 0.0741
Fe 0.3200 0.0654 0.2772
Si 0.9103 0.5449 0.4823

## Properties
**Total magnetic moment**: 0.00 μB per atom
**Space group**: P1, No. 1


The data favor arrangement b; the next most stable structure lies 1289 meV per atom above it.


Arrangement a

DFT (PBE-GGA) results for a relaxed structure of FeSiC3.

Cell: 2.8534 5.3012 6.4242 Å, 90.00 116.21 90.00°
Site moments in Bohr magnetons follow the coordinates.
Atoms (fractional coordinates):
Fe 0.2188 0.0000 0.8999  2.21
Fe 0.2188 0.5000 0.3999  2.21
C 0.4072 0.0000 0.5891  0.01
C 0.5348 0.2347 0.7159  -0.02
C 0.5348 0.7653 0.7159  -0.02
C 0.5348 0.2653 0.2159  -0.02
C 0.5348 0.7347 0.2159  -0.02
C 0.4072 0.5000 0.0891  0.01
Si 0.0813 0.0000 0.2642  0.01
Si 0.0813 0.5000 0.7642  0.01

## Properties
**Total magnetic moment**: 0.44 μB per atom
**Space group**: Cm, No. 8


Arrangement b

DFT (PBE-GGA) results for a relaxed structure of FeSiC3.

Cell: 2.8539 2.8735 6.5986 Å, 78.90 78.64 61.20°
Atoms (fractional coordinates):
Si 0.7022 0.4698 0.5571
C 0.6079 0.3802 0.8423
C 0.0766 0.8445 0.4322
C 0.1335 0.8942 0.2129
Fe 0.9044 0.6901 0.0112

## Properties
**Total magnetic moment**: 0.00 μB per atom
**Space group**: P1, No. 1


The data favor arrangement b; the next most stable structure lies 135 meV per atom above it.


Arrangement a

DFT (PBE-GGA) results for a relaxed structure of Sm2FeC2.

Cell: 5.1987 6.0746 10.2121 Å, 90.00 90.00 90.00°
Atoms (fractional coordinates):
Fe 0.2500 0.2546 0.1496
Fe 0.7500 0.7454 0.8504
Fe 0.7500 0.2454 0.6496
Fe 0.2500 0.7546 0.3504
Sm 0.2500 0.9920 0.7406
Sm 0.2500 0.7711 0.0499
Sm 0.2500 0.4920 0.7594
Sm 0.7500 0.2289 0.9501
Sm 0.2500 0.2711 0.4501
Sm 0.7500 0.7289 0.5499
Sm 0.7500 0.5080 0.2406
Sm 0.7500 0.0080 0.2594
C 0.2500 0.2298 0.9727
C 0.2500 0.5088 0.2466
C 0.7500 0.7702 0.0273
C 0.2500 0.0088 0.2534
C 0.7500 0.2702 0.4727
C 0.7500 0.4912 0.7534
C 0.2500 0.7298 0.5273
C 0.7500 0.9912 0.7466

## Properties
**Total magnetic moment**: 0.00 μB per atom
**Space group**: Pnma, No. 62


Arrangement b

DFT (PBE-GGA) results for a relaxed structure of Sm2FeC2.

Cell: 5.2025 6.1286 6.8111 Å, 119.05 90.00 115.12°
Site moments in Bohr magnetons follow the coordinates.
Atoms (fractional coordinates):
Fe 0.6283 0.2567 0.1314  0.72
Fe 0.3717 0.7433 0.8686  0.72
C 0.4860 0.9719 0.1958  -0.03
C 0.8145 0.6289 0.3894  0.02
C 0.1855 0.3711 0.6106  0.02
C 0.5140 0.0281 0.8042  -0.03
Sm 0.0443 0.0885 0.7883  0.01
Sm 0.3155 0.6309 0.3854  0.01
Sm 0.6845 0.3691 0.6146  0.01
Sm 0.9557 0.9115 0.2117  0.01

## Properties
**Total magnetic moment**: 0.15 μB per atom
**Space group**: C2/m, No. 12


The data favor arrangement b; the next most stable structure lies 12 meV per atom above it.


Arrangement a

DFT (PBE-GGA) results for a relaxed structure of FeSnC3.

Cell: 3.8569 3.8569 3.8569 Å, 90.00 90.00 90.00°
Atoms (fractional coordinates):
Fe 0.0000 0.0000 0.0000
C 0.0000 0.5000 0.0000
C 0.0000 0.0000 0.5000
C 0.5000 0.0000 0.0000
Sn 0.5000 0.5000 0.5000

## Properties
**Total magnetic moment**: 0.00 μB per atom
**Space group**: Pm-3m, No. 221


Arrangement b

DFT (PBE-GGA) results for a relaxed structure of FeSnC3.

Cell: 4.2171 4.2171 4.2171 Å, 90.00 90.00 90.00°
Site moments in Bohr magnetons follow the coordinates.
Atoms (fractional coordinates):
C 0.0000 0.5000 0.0000  -0.06
C 0.5000 0.0000 0.0000  -0.09
C 0.0000 0.0000 0.5000  -0.04
Sn 0.0000 0.0000 0.0000  0.01
Fe 0.5000 0.5000 0.5000  0.10

## Properties
**Total magnetic moment**: 0.05 μB per atom
**Space group**: Pm-3m, No. 221


The data favor arrangement a; the next most stable structure lies 1567 meV per atom above it.


Arrangement a

DFT (PBE-GGA) results for a relaxed structure of SrFeC3.

Cell: 3.9229 3.9229 3.9229 Å, 90.00 90.00 90.00°
Site moments in Bohr magnetons follow the coordinates.
Atoms (fractional coordinates):
C 0.0000 0.0000 0.5000  0.34
C 0.5000 0.0000 0.0000  0.06
C 0.0000 0.5000 0.0000  0.19
Sr 0.5000 0.5000 0.5000  0.06
Fe 0.0000 0.0000 0.0000  1.34

## Properties
**Total magnetic moment**: 0.52 μB per atom
**Space group**: Pm-3m, No. 221


Arrangement b

DFT (PBE-GGA) results for a relaxed structure of SrFeC3.

Cell: 4.4533 4.4533 4.4533 Å, 90.00 90.00 90.00°
Site moments in Bohr magnetons follow the coordinates.
Atoms (fractional coordinates):
Sr 0.0000 0.0000 0.0000  -0.03
C 0.0000 0.0000 0.5000  0.03
C 0.5000 0.0000 0.0000  0.00
C 0.0000 0.5000 0.0000  -0.02
Fe 0.5000 0.5000 0.5000  -0.15

## Properties
**Total magnetic moment**: 0.02 μB per atom
**Space group**: Pm-3m, No. 221


The data favor arrangement a; the next most stable structure lies 2767 meV per atom above it.


Arrangement a

DFT (PBE-GGA) results for a relaxed structure of SrFe3C.

Cell: 4.0407 4.0407 4.0407 Å, 90.00 90.00 90.00°
Site moments in Bohr magnetons follow the coordinates.
Atoms (fractional coordinates):
Sr 0.5000 0.5000 0.5000  -0.10
Fe 0.0000 0.5000 0.0000  1.61
Fe 0.5000 0.0000 0.0000  1.19
Fe 0.0000 0.0000 0.5000  1.72
C 0.0000 0.0000 0.0000  -0.12

## Properties
**Total magnetic moment**: 0.83 μB per atom
**Space group**: Pm-3m, No. 221


Arrangement b

DFT (PBE-GGA) results for a relaxed structure of SrFe3C.

Cell: 4.7503 4.7503 4.7503 Å, 90.00 90.00 90.00°
Site moments in Bohr magnetons follow the coordinates.
Atoms (fractional coordinates):
Fe 0.5000 0.0000 0.0000  2.82
Fe 0.0000 0.0000 0.5000  2.50
Fe 0.0000 0.5000 0.0000  2.69
Sr 0.0000 0.0000 0.0000  -0.22
C 0.5000 0.5000 0.5000  -0.10

## Properties
**Total magnetic moment**: 1.52 μB per atom
**Space group**: Pm-3m, No. 221


The data favor arrangement a; the next most stable structure lies 2980 meV per atom above it.


Arrangement a

DFT (PBE-GGA) results for a relaxed structure of Ta3FeC.

Cell: 4.2269 4.2269 4.2269 Å, 90.00 90.00 90.00°
Atoms (fractional coordinates):
Ta 0.5000 0.0000 0.0000
Ta 0.0000 0.0000 0.5000
Ta 0.0000 0.5000 0.0000
Fe 0.5000 0.5000 0.5000
C 0.0000 0.0000 0.0000

## Properties
**Total magnetic moment**: 0.00 μB per atom
**Space group**: Pm-3m, No. 221


Arrangement b

DFT (PBE-GGA) results for a relaxed structure of Ta3FeC.

Cell: 4.5238 4.5238 4.5238 Å, 90.00 90.00 90.00°
Atoms (fractional coordinates):
Ta 0.0000 0.0000 0.5000
Ta 0.5000 0.0000 0.0000
Ta 0.0000 0.5000 0.0000
C 0.5000 0.5000 0.5000
Fe 0.0000 0.0000 0.0000

## Properties
**Total magnetic moment**: 0.00 μB per atom
**Space group**: Pm-3m, No. 221


The data favor arrangement a; the next most stable structure lies 1802 meV per atom above it.


Arrangement a

DFT (PBE-GGA) results for a relaxed structure of TaFeTc2C.

Cell: 4.5885 3.4906 4.5885 Å, 90.00 90.00 90.00°
Atoms (fractional coordinates):
Ta 0.5000 0.5000 0.5000
C 0.0000 0.5000 0.0000
Fe 0.0000 0.0000 0.0000
Tc 0.5000 0.0000 0.0000
Tc 0.0000 0.0000 0.5000

## Properties
**Total magnetic moment**: 0.00 μB per atom
**Space group**: P4/mmm, No. 123


Arrangement b

DFT (PBE-GGA) results for a relaxed structure of TaFeTc2C.

Cell: 4.1003 4.1003 3.7993 Å, 90.00 90.00 90.00°
Site moments in Bohr magnetons follow the coordinates.
Atoms (fractional coordinates):
Tc 0.5000 0.0000 0.0000  -0.01
Tc 0.0000 0.5000 0.0000  -0.01
Ta 0.5000 0.5000 0.5000  -0.01
C 0.0000 0.0000 0.0000  0.00
Fe 0.0000 0.0000 0.5000  0.16

## Properties
**Total magnetic moment**: 0.03 μB per atom
**Space group**: P4/mmm, No. 123


The data favor arrangement b; the next most stable structure lies 1340 meV per atom above it.